Entry 1:
A plane-wave DFT calculation with PBE was carried out for a relaxed K3CeDy3S8 crystal.

a = 8.0834 Å, b = 8.0834 Å, c = 22.3954 Å
α = 90.00°, β = 90.00°, γ = 120.00°
Space group R-3m (No. 166, hexagonal axes)
Symmetry-distinct sites (fractional):
K (0.0000, 0.5000, 0.0000) x9
Ce (0.0000, 0.0000, 0.5000) x3
Dy (0.0000, 0.5000, 0.5000) x9
S (0.0000, 0.0000, 0.2334) x6
S (0.0019, 0.5009, 0.2320) x18

Computed properties:
raw total energy: -5.604 eV per atom
volume: 28.16 Å³/atom
raw formation energy: -1.8668 eV/atom

***

Entry 2:
A plane-wave DFT calculation with PBE was carried out for a relaxed K3CeDy2S6 crystal.

a = 7.1203 Å, b = 12.3334 Å, c = 7.7403 Å
α = 90.00°, β = 107.87°, γ = 90.00°
Space group C2/m (No. 12)
Symmetry-distinct sites (fractional):
K (0.0000, 0.0000, 0.0000) x2
K (0.0000, 0.3340, 0.0000) x4
Ce (0.0000, 0.5000, 0.5000) x2
Dy (0.0000, 0.1667, 0.5000) x4
S (0.2260, 0.0000, 0.7029) x4
S (0.2385, 0.3292, 0.7028) x8

Computed properties:
D(E_F): 0.393 states/eV/atom
raw total energy: -5.451 eV per atom
volume: 26.96 Å³/atom
raw formation energy: -1.8513 eV/atom

***

Entry 3:
A plane-wave DFT calculation with PBE was carried out for a relaxed K2CeDyS4 crystal.

a = 7.1672 Å, b = 4.1372 Å, c = 7.7405 Å
α = 90.00°, β = 107.93°, γ = 90.00°
Space group P2/m (No. 10)
Symmetry-distinct sites (fractional):
K (0.0000, 0.0000, 0.0000) x1
K (0.5000, 0.5000, 0.0000) x1
Ce (0.0000, 0.5000, 0.5000) x1
Dy (0.5000, 0.0000, 0.5000) x1
S (0.2427, 0.0000, 0.7050) x2
S (0.2731, 0.5000, 0.2976) x2

Computed properties:
D(E_F): 0.703 states/eV/atom
raw total energy: -5.488 eV per atom
volume: 27.30 Å³/atom
raw formation energy: -1.8329 eV/atom

***

Entry 4:
A plane-wave DFT calculation with PBE was carried out for a relaxed K4Ce3DyS8 crystal.

a = 8.3533 Å, b = 8.3533 Å, c = 22.0871 Å
α = 90.00°, β = 90.00°, γ = 120.00°
Space group R-3m (No. 166, hexagonal axes)
Symmetry-distinct sites (fractional):
K (0.0000, 0.0000, 0.0000) x3
K (0.0000, 0.5000, 0.0000) x9
Ce (0.0000, 0.5000, 0.5000) x9
Dy (0.0000, 0.0000, 0.5000) x3
S (0.0000, 0.0000, 0.2357) x6
S (0.0074, 0.5037, 0.2347) x18

Computed properties:
D(E_F): 1.160 states/eV/atom
raw total energy: -5.548 eV per atom
volume: 27.81 Å³/atom
raw formation energy: -1.8099 eV/atom

***

Entry 5:
A plane-wave DFT calculation with PBE was carried out for a relaxed K4CeDy3S8 crystal.

a = 8.1934 Å, b = 8.1934 Å, c = 22.0918 Å
α = 90.00°, β = 90.00°, γ = 120.00°
Space group R-3m (No. 166, hexagonal axes)
Symmetry-distinct sites (fractional):
K (0.0000, 0.0000, 0.0000) x3
K (0.0000, 0.5000, 0.0000) x9
Ce (0.0000, 0.0000, 0.5000) x3
Dy (0.0000, 0.5000, 0.5000) x9
S (0.0000, 0.0000, 0.2337) x6
S (0.0075, 0.5037, 0.7656) x18

Computed properties:
D(E_F): 0.299 states/eV/atom
raw total energy: -5.431 eV per atom
volume: 26.76 Å³/atom
raw formation energy: -1.8593 eV/atom

***

Entry 6:
A plane-wave DFT calculation with PBE was carried out for a relaxed K3Ce2DyS6 crystal.

a = 7.2130 Å, b = 12.4939 Å, c = 7.7464 Å
α = 90.00°, β = 108.09°, γ = 90.00°
Space group C2/m (No. 12)
Symmetry-distinct sites (fractional):
K (0.0000, 0.0000, 0.0000) x2
K (0.0000, 0.3331, 0.0000) x4
Ce (0.0000, 0.1667, 0.5000) x4
Dy (0.0000, 0.5000, 0.5000) x2
S (0.2309, 0.3373, 0.7046) x8
S (0.2428, 0.0000, 0.7042) x4

Computed properties:
D(E_F): 0.978 states/eV/atom
raw total energy: -5.529 eV per atom
volume: 27.65 Å³/atom
raw formation energy: -1.8183 eV/atom